No. 1
A plane-wave DFT calculation with PBE was carried out for an optimized crystal structure of BaYZn.

Summary:
Symmetry: P3m1
Raw total energy in eV per atom: -3.137
Crystal system: trigonal
Calculated volume in Å³/atom: 34.9
Total magnetic moment in Bohr magnetons per cell: 0.00
Energy relative to the elements in eV/f.u.: 0.2

a b c (Å): 3.8920 3.8920 7.9821
angles (deg): 90.00 90.00 120.00
Fractional coordinates of all 3 atoms:
Zn1 0.6667 0.3333 0.6415
Y1 0.3333 0.6667 0.3946
Ba1 0.0000 0.0000 0.9639

No. 2
A plane-wave DFT calculation with PBE was carried out for an optimized crystal structure of BaY2Zn.

Summary:
Symmetry: R-3m
Raw total energy in eV per atom: -3.977
Crystal system: trigonal
Calculated volume in Å³/atom: 33.9
Total magnetic moment in Bohr magnetons per cell: 0.16
Energy relative to the elements in eV/f.u.: 0.2

a b c (Å): 11.1049 11.1049 11.1049
angles (deg): 19.65 19.65 19.65
Fractional coordinates of all 4 atoms:
Y1 0.9798 0.9798 0.9798
Y2 0.5202 0.5202 0.5202
Ba1 0.7500 0.7500 0.7500
Zn1 0.2500 0.2500 0.2500

Q: What is the formula in the second record?
A: BaY2Zn